Record 1
VASP calculation (PBE-GGA) on a relaxed structure of RbNaSi3.

energy relative to the lowest polymorph listed for this composition = 0.0000 eV per atom
calculated total energy = -12.75 eV per cell
calculated volume = 144.7 Å³/cell
SG = Pm-3m, No. 221
Fermi-level density of states = 3.83 states/eV/cell

Unit cell a=5.2494 b=5.2494 c=5.2494 alpha=90.00 beta=90.00 gamma=90.00
Last column: nearest neighbours and their distance in Å.
Sites, in units of the cell vectors:
Si 0.5000 0.0000 0.0000  2 Na 2.62
Rb 0.5000 0.5000 0.5000  12 Si 3.71
Si 0.0000 0.5000 0.0000  2 Na 2.62
Si 0.0000 0.0000 0.5000  2 Na 2.62
Na 0.0000 0.0000 0.0000  6 Si 2.62

=====

Record 2
VASP calculation (PBE-GGA) on a relaxed structure of La6NdSm2.

calculated total energy = -40.30 eV per cell
calculated volume = 358.8 Å³/cell
energy relative to the elements = 386 meV per atom
SG = P-31m, No. 162
Fermi-level density of states = 16.29 states/eV/cell

Unit cell a=9.4800 b=6.6106 c=6.6106 alpha=120.00 beta=90.00 gamma=90.00
Last column: nearest neighbours and their distance in Å.
Sites, in units of the cell vectors:
Nd 0.0000 0.0000 0.0000  6 La 3.06
La 0.7978 0.0000 0.6395  1 Nd 3.06
La 0.2022 0.6395 0.6395  1 Nd 3.06
La 0.7978 0.3605 0.3605  1 Nd 3.06
La 0.2022 0.3605 0.0000  1 Nd 3.06
Sm 0.5000 0.3333 0.6667  6 La 3.53, 3 Sm 3.82
La 0.2022 0.0000 0.3605  1 Nd 3.06
Sm 0.5000 0.6667 0.3333  6 La 3.53, 3 Sm 3.82
La 0.7978 0.6395 0.0000  1 Nd 3.06

=====

Record 3
VASP calculation (PBE-GGA) on a relaxed structure of TiAl2Pd.

calculated total energy = -23.04 eV per cell
calculated volume = 61.5 Å³/cell
energy relative to the elements = -617 meV per atom
SG = P4/mmm, No. 123
Fermi-level density of states = 2.24 states/eV/cell

Unit cell a=3.7863 b=4.0305 c=4.0305 alpha=90.00 beta=90.00 gamma=90.00
Last column: nearest neighbours and their distance in Å.
Sites, in units of the cell vectors:
Al 0.0000 0.5000 0.0000  4 Pd 2.76, 4 Ti 2.76, 4 Al 2.85
Pd 0.5000 0.5000 0.5000  8 Al 2.76, 4 Ti 2.85
Ti 0.5000 0.0000 0.0000  8 Al 2.76, 4 Pd 2.85
Al 0.0000 0.0000 0.5000  4 Pd 2.76, 4 Ti 2.76, 4 Al 2.85

=====

Record 4
VASP calculation (PBE-GGA) on a relaxed structure of CaHoAl.

energy relative to the lowest polymorph listed for this composition = 0.0000 eV per atom
calculated total energy = -10.83 eV per cell
calculated volume = 85.1 Å³/cell
energy relative to the elements = -168 meV per atom
SG = I4mm, No. 107
Fermi-level density of states = 1.76 states/eV/cell

Unit cell a=3.5729 b=3.5729 c=7.1326 alpha=104.50 beta=104.50 gamma=90.00
Last column: nearest neighbours and their distance in Å.
Sites, in units of the cell vectors:
Ho 0.3037 0.3037 0.6074  4 Al 3.06
Ca 0.0223 0.0223 0.0446  4 Al 3.24, 4 Ca 3.57
Al 0.6740 0.6740 0.3480  4 Ho 3.06, 4 Ca 3.24

=====

Copy entry 3 word for word.
VASP calculation (PBE-GGA) on a relaxed structure of TiAl2Pd.

calculated total energy = -23.04 eV per cell
calculated volume = 61.5 Å³/cell
energy relative to the elements = -617 meV per atom
SG = P4/mmm, No. 123
Fermi-level density of states = 2.24 states/eV/cell

Unit cell a=3.7863 b=4.0305 c=4.0305 alpha=90.00 beta=90.00 gamma=90.00
Last column: nearest neighbours and their distance in Å.
Sites, in units of the cell vectors:
Al 0.0000 0.5000 0.0000  4 Pd 2.76, 4 Ti 2.76, 4 Al 2.85
Pd 0.5000 0.5000 0.5000  8 Al 2.76, 4 Ti 2.85
Ti 0.5000 0.0000 0.0000  8 Al 2.76, 4 Pd 2.85
Al 0.0000 0.0000 0.5000  4 Pd 2.76, 4 Ti 2.76, 4 Al 2.85

=====

Q: The highest Fermi-level density of states belongs to which entry?
A: La6NdSm2

=====

Q: What is the formula in the fourth record?
A: CaHoAl